Compound: Li2SiNi2
Source: the Alexandria database
Functional: PBE-GGA
Structure: relaxed

Formation energy (no corrections) in eV/atom: -0.23
V in Å³ per cell: 136.3
Crystal system: tetragonal
ρ in g cm⁻³: 3.88
Offset from the most stable computed form in meV per atom: 135

Lattice parameters (Å, degrees): 5.7164 5.7164 4.1723 90.00 90.00 90.00
Space group P4/mbm (No. 127)
One atom of each set of equivalent atoms:
Li1 0.1700 0.3300 0.0000 x4
Si1 0.0000 0.0000 0.5000 x2
Ni1 0.1439 0.6439 0.5000 x4

---

Compound: Cs2TcO3
Source: the Alexandria database
Functional: PBE-GGA
Structure: relaxed

Formation energy (no corrections) in eV/atom: -1.36
V in Å³ per cell: 1101.1
Crystal system: monoclinic
ρ in g cm⁻³: 4.97
Offset from the most stable computed form in meV per atom: 0

Lattice parameters (Å, degrees): 5.7388 13.5137 14.2778 90.00 96.04 90.00
Space group C2/c (No. 15)
One atom of each set of equivalent atoms:
Cs1 0.2224 0.2068 0.3569 x8
Cs2 0.2317 0.1082 0.9356 x8
Tc1 0.1976 0.4969 0.8099 x8
O1 0.0000 0.0075 0.7500 x4
O2 0.0000 0.3902 0.2500 x4
O3 0.2163 0.3633 0.8367 x8
O4 0.2225 0.4340 0.4220 x8